Entry from Alexandria via LeMat-Bulk: ReMoAu2 after structural relaxation (PBE).

Geometry as CIF:
```
data_ReMoAu2
_chemical_formula_sum 'Re3 Mo3 Au6'
_cell_length_a 2.8273
_cell_length_b 2.8273
_cell_length_c 28.4383
_cell_angle_alpha 90.00
_cell_angle_beta 90.00
_cell_angle_gamma 120.00
_symmetry_space_group_name_H-M 'R -3 m'
_symmetry_Int_Tables_number 166
_symmetry_space_group_name_Hall '-R 3 2"'
loop_
_atom_site_label
_atom_site_fract_x
_atom_site_fract_y
_atom_site_fract_z
Re1 0.0000 0.0000 0.0000
Mo1 0.0000 0.0000 0.5000
Au1 0.0000 0.0000 0.2503
```

Its spin magnetization is 0.0 μB per formula unit. For the total energy, the calculation gives -6.994 eV per atom. The calculation puts the calculated formation energy at 0.46 eV/atom. The density of states at the Fermi level comes out at 1.59 states/eV/atom. The energy above the most stable polymorph in this dataset is 208 meV/atom.